(1)
Computed, not measured: GaPbSe2O8 after structural relaxation at the GGA-PBE level of DFT.

CIF file:
```
data_GaPbSe2O8
_cell_length_a 5.1083
_cell_length_b 5.1083
_cell_length_c 7.5272
_cell_angle_alpha 88.00
_cell_angle_beta 88.00
_cell_angle_gamma 68.72
_space_group_name_H-M_alt 'P 1'
_space_group_IT_number 1
_space_group_name_Hall 'P 1'
loop_
_atom_site_label
_atom_site_fract_x
_atom_site_fract_y
_atom_site_fract_z
_atom_site_occupancy
Ga1 0.0000 0.0000 0.0000 1
Pb1 0.0000 0.0000 0.5000 1
Se1 0.6301 0.6301 0.2097 1
Se2 0.3699 0.3699 0.7903 1
O1 0.7432 0.2125 0.8007 1
O2 0.7649 0.7649 0.0371 1
O3 0.7053 0.7053 0.4132 1
O4 0.2947 0.2947 0.5868 1
O5 0.2351 0.2351 0.9629 1
O6 0.2125 0.7432 0.8007 1
O7 0.7875 0.2568 0.1993 1
O8 0.2568 0.7875 0.1993 1
```

Results
Formation energy without anion corrections = -85 kJ per mole of atoms
Calculated total energy = -5.33 eV per atom

---

(2)
Computed, not measured: Rb2CeZrO6 after structural relaxation at the GGA-PBE level of DFT.

CIF file:
```
data_Rb2CeZrO6
_cell_length_a 6.2055
_cell_length_b 6.2053
_cell_length_c 6.2092
_cell_angle_alpha 59.99
_cell_angle_beta 60.00
_cell_angle_gamma 90.00
_space_group_name_H-M_alt 'P 1'
_space_group_IT_number 1
_space_group_name_Hall 'P 1'
loop_
_atom_site_label
_atom_site_fract_x
_atom_site_fract_y
_atom_site_fract_z
_atom_site_occupancy
Rb1 0.2500 0.7500 0.5000 1
Rb2 0.7500 0.2500 0.5000 1
Ce1 0.0000 0.0000 0.0000 1
Zr1 0.5000 0.5000 0.0000 1
O1 0.2573 0.7426 0.0001 1
O2 0.7427 0.7428 0.9998 1
O3 0.2573 0.2574 0.4852 1
O4 0.7427 0.2574 0.9999 1
O5 0.2573 0.2572 0.0002 1
O6 0.7427 0.7426 0.5148 1
```

Results
Formation energy without anion corrections = -225 kJ per mole of atoms
Calculated total energy = -6.95 eV per atom

---

(3)
Computed, not measured: LiMg2Au after structural relaxation at the GGA-PBE level of DFT.

CIF file:
```
data_LiMg2Au
_cell_length_a 4.5002
_cell_length_b 3.1035
_cell_length_c 5.6036
_cell_angle_alpha 73.43
_cell_angle_beta 90.00
_cell_angle_gamma 90.00
_space_group_name_H-M_alt 'P 1'
_space_group_IT_number 1
_space_group_name_Hall 'P 1'
loop_
_atom_site_label
_atom_site_fract_x
_atom_site_fract_y
_atom_site_fract_z
_atom_site_occupancy
Au1 0.0000 0.6959 0.4939 1
Li1 0.5000 0.5545 0.7536 1
Mg1 0.0000 0.9553 0.9556 1
Mg2 0.5000 0.2943 0.2970 1
```

Results
ΔH_f (0 K) = -32 kJ per mole of atoms
Calculated total energy = -2.43 eV per atom

---

(4)
Computed, not measured: Rb2Tl5Cd2In after structural relaxation at the GGA-PBE level of DFT.

CIF file:
```
data_Rb2Tl5Cd2In
_cell_length_a 4.1924
_cell_length_b 12.6985
_cell_length_c 12.6985
_cell_angle_alpha 90.00
_cell_angle_beta 90.00
_cell_angle_gamma 90.00
_space_group_name_H-M_alt 'P 1'
_space_group_IT_number 1
_space_group_name_Hall 'P 1'
loop_
_atom_site_label
_atom_site_fract_x
_atom_site_fract_y
_atom_site_fract_z
_atom_site_occupancy
Rb1 0.0000 0.6763 0.1763 1
Rb2 0.0000 0.3237 0.8237 1
Rb3 0.0000 0.1763 0.3237 1
Rb4 0.0000 0.8237 0.6763 1
Tl1 0.5000 0.1903 0.0551 1
Tl2 0.5000 0.8097 0.9449 1
Tl3 0.5000 0.0551 0.8097 1
Tl4 0.5000 0.6903 0.4449 1
Tl5 0.5000 0.9449 0.1903 1
Tl6 0.5000 0.3097 0.5551 1
Tl7 0.5000 0.5551 0.6903 1
Tl8 0.5000 0.4449 0.3097 1
Tl9 0.5000 0.5000 0.0000 1
Tl10 0.5000 0.0000 0.5000 1
Cd1 0.0000 0.1280 0.6280 1
Cd2 0.0000 0.8720 0.3720 1
Cd3 0.0000 0.6280 0.8720 1
Cd4 0.0000 0.3720 0.1280 1
In1 0.0000 0.0000 0.0000 1
In2 0.0000 0.5000 0.5000 1
```

Results
ΔH_f (0 K) = -2 kJ per mole of atoms
Calculated total energy = -1.85 eV per atom

---

(5)
Computed, not measured: NaGa9Cu2 after structural relaxation at the GGA-PBE level of DFT.

CIF file:
```
data_NaGa9Cu2
_cell_length_a 7.4328
_cell_length_b 8.5130
_cell_length_c 8.5130
_cell_angle_alpha 79.01
_cell_angle_beta 64.12
_cell_angle_gamma 64.12
_space_group_name_H-M_alt 'P 1'
_space_group_IT_number 1
_space_group_name_Hall 'P 1'
loop_
_atom_site_label
_atom_site_fract_x
_atom_site_fract_y
_atom_site_fract_z
_atom_site_occupancy
Na1 0.5000 0.0000 0.0000 1
Na2 0.2500 0.5000 0.5000 1
Ga1 0.7500 0.5000 0.5000 1
Ga2 0.0000 0.0000 0.0000 1
Ga3 0.9964 0.9258 0.6817 1
Ga4 0.6040 0.0742 0.3183 1
Ga5 0.6723 0.1817 0.5742 1
Ga6 0.4282 0.8183 0.4258 1
Ga7 0.7536 0.8183 0.5742 1
Ga8 0.1460 0.1817 0.4258 1
Ga9 0.0777 0.9258 0.3183 1
Ga10 0.3218 0.0742 0.6817 1
Ga11 0.7536 0.5742 0.8183 1
Ga12 0.1460 0.4258 0.1817 1
Ga13 0.0777 0.3183 0.9258 1
Ga14 0.3218 0.6817 0.0742 1
Ga15 0.9964 0.6817 0.9258 1
Ga16 0.6040 0.3183 0.0742 1
Ga17 0.6723 0.5742 0.1817 1
Ga18 0.4282 0.4258 0.8183 1
Cu1 0.8750 0.2500 0.7500 1
Cu2 0.8750 0.7500 0.2500 1
Cu3 0.8750 0.2500 0.2500 1
Cu4 0.3750 0.7500 0.7500 1
```

Results
ΔH_f (0 K) = -5 kJ per mole of atoms
Calculated total energy = -3.11 eV per atom